Record 1
Here is ZnIrRuO6 after structural relaxation from Alexandria. Energies are from PBE.

Output
Total moment = 0.09 μB per formula unit
Raw formation energy = -0.84 eV/atom
N(E_F) = 6.730 states/eV/f.u.

```
data_ZnIrRuO6
_space_group_name_H-M_alt 'P -3 1 c'
_space_group_IT_number 163
_space_group_name_Hall '-P 3 2c'
_cell_length_a 5.0798
_cell_length_b 5.0798
_cell_length_c 8.5443
_cell_angle_alpha 90.00
_cell_angle_beta 90.00
_cell_angle_gamma 120.00
loop_
_atom_site_label
_atom_site_type_symbol
_atom_site_fract_x
_atom_site_fract_y
_atom_site_fract_z
Zn1 Zn 0.3333 0.6667 0.2500
Ir1 Ir 0.3333 0.6667 0.7500
Ru1 Ru 0.0000 0.0000 0.0000
O1 O 0.0126 0.3356 0.6233
```

=====

Record 2
Here is ZnIrRuO2 after structural relaxation from Alexandria. Energies are from PBE.

Output
Total moment = 3.10 μB per formula unit
Raw formation energy = 0.86 eV/atom
N(E_F) = 5.466 states/eV/f.u.

```
data_ZnIrRuO2
_space_group_name_H-M_alt 'P 4/m m m'
_space_group_IT_number 123
_space_group_name_Hall '-P 4 2'
_cell_length_a 3.715
_cell_length_b 3.715
_cell_length_c 5.130
_cell_angle_alpha 90.00
_cell_angle_beta 90.00
_cell_angle_gamma 90.00
loop_
_atom_site_label
_atom_site_type_symbol
_atom_site_fract_x
_atom_site_fract_y
_atom_site_fract_z
Zn1 Zn 0.000 0.000 0.000
Ir1 Ir 0.000 0.000 0.500
Ru1 Ru 0.500 0.500 0.500
O1 O 0.000 0.500 0.000
```